NaPtF: relaxed, PBE.

The structure belongs to space group P1 (No. 1); the cell edges are 2.883, 2.884 and 10.715 Å and the angles 89.58°, 89.20° and 89.99°. The distinct sites, in fractional coordinates, are Na at (0.000, 0.000, 0.000), Na at (0.464, 0.480, 0.712), Pt at (0.485, 0.492, 0.288), Pt at (0.976, 0.988, 0.462), F at (0.496, 0.498, 0.072) and F at (0.959, 0.977, 0.796).

As for the uncorrected formation energy: -31.946 kcal/mol of atoms. Its total energy is -26.77 eV/cell. For the energy relative to the lowest polymorph listed for this composition, the calculation gives 0.0360 eV per atom. The value obtained for the density of states at the Fermi level is 0.746 states/eV per atom.

---

Na2PtF6: relaxed, PBE.

The structure belongs to space group P321 (No. 150); the cell edges are 9.4849, 9.4849 and 5.2099 Å and the angles 90.00°, 90.00° and 120.00°. The distinct sites, in fractional coordinates, are Na at (0.0000, 0.2969, 0.0000), Na at (0.0000, 0.6324, 0.5000), Pt at (0.0000, 0.0000, 0.5000), Pt at (0.3333, 0.6667, 0.0072), F at (0.0946, 0.8935, 0.2924), F at (0.1358, 0.5489, 0.2207) and F at (0.2203, 0.7521, 0.7940).

As for the uncorrected formation energy: -48.455 kcal/mol of atoms. Its total energy is -116.45 eV/cell. The value obtained for the density of states at the Fermi level is 0.000 states/eV per atom.

---

NaPtF: relaxed, PBE.

The structure belongs to space group Cmcm (No. 63); the cell edges are 2.782, 16.062 and 4.553 Å and the angles 90.00°, 90.00° and 90.00°. The distinct sites, in fractional coordinates, are Na at (0.000, 0.076, 0.250), Pt at (0.000, 0.240, 0.750) and F at (0.000, 0.500, 0.000).

As for the uncorrected formation energy: -26.937 kcal/mol of atoms. Its total energy is -50.94 eV/cell. For the energy relative to the lowest polymorph listed for this composition, the calculation gives 0.2532 eV per atom. The value obtained for the density of states at the Fermi level is 0.502 states/eV per atom.

---

- Look up the total energy of the first one.
  -26.77 eV/cell